# NaCaO2F

NaCaO2F after structural relaxation (PBE-GGA, the Alexandria database).

a b c (Å): 4.5320 4.5320 4.4434
angles (deg): 90.00 90.00 90.00
Closest atoms and distances in Å follow each position.
Space group P4/mmm (No. 123)
Symmetry-distinct sites (fractional):
Na  0.0000  0.0000  0.0000 [1 per cell]  8 O 3.17, 4 F 3.20
Ca  0.5000  0.5000  0.5000 [1 per cell]  2 F 2.22, 4 O 2.27
O  0.0000  0.5000  0.5000 [2 per cell]  2 Ca 2.27
F  0.5000  0.5000  0.0000 [1 per cell]  2 Ca 2.22

Computed properties:
The total DFT energy (no corrections) is -4.6528 eV per atom.